Compound: Ga3NiO
Source: the Alexandria database
Functional: GGA+U
Structure: optimized geometry

Output
As for the volume: 17.48 Å³ per atom. As for the total DFT energy (no corrections): -3.057 eV/atom.

Cell: 4.438 4.438 4.438 Å, 90.00 90.00 90.00°
Space group Pm-3m (No. 221)
Asymmetric unit:
Ga 0.000 0.000 0.500 [3 per cell]
Ni 0.000 0.000 0.000 [1 per cell]
O 0.500 0.500 0.500 [1 per cell]